Entry 1:
Material: TaCo2Ru
Method: DFT, PBE
State: optimized geometry

Its polymorph energy (0 for the lowest one) is 275 meV/atom. The formation enthalpy at 0 K comes out at 60 meV per atom.

It has space group Fm-3m (No. 225), with a = 5.989 Å, b = 5.989 Å, c = 5.989 Å, α = 90.00°, β = 90.00° and γ = 90.00°. The distinct sites, in fractional coordinates, are Ta at (0.000, 0.000, 0.000), Co at (0.250, 0.250, 0.250) and Ru at (0.000, 0.000, 0.500).

Entry 2:
Material: SrNpSb2
Method: DFT, PBE
State: optimized geometry

Its polymorph energy (0 for the lowest one) is 94 meV/atom. For the formation energy from raw total energies, the calculation gives -44.4 kJ/mol of atoms.

It has space group P4/mmm (No. 123), with a = 3.727 Å, b = 3.727 Å, c = 8.431 Å, α = 90.00°, β = 90.00° and γ = 90.00°. The distinct sites, in fractional coordinates, are Sr at (0.000, 0.000, 0.000), Np at (0.000, 0.000, 0.500) and Sb at (0.500, 0.500, 0.268).

Entry 3:
Material: Hf2TcSb
Method: DFT, PBE
State: optimized geometry

For the formation energy from raw total energies, the calculation gives -34.2 kJ/mol of atoms.

It has space group P4/mmm (No. 123), with a = 3.561 Å, b = 3.561 Å, c = 6.176 Å, α = 90.00°, β = 90.00° and γ = 90.00°. The distinct sites, in fractional coordinates, are Hf at (0.000, 0.000, 0.240), Tc at (0.500, 0.500, 0.000) and Sb at (0.500, 0.500, 0.500).

Entry 4:
Material: Y4AgPd2
Method: DFT, PBE
State: optimized geometry

Its polymorph energy (0 for the lowest one) is 0 meV/atom. The formation enthalpy at 0 K comes out at -554 meV per atom.

It has space group Cc (No. 9), with a = 8.508 Å, b = 14.444 Å, c = 7.108 Å, α = 90.00°, β = 126.21° and γ = 90.00°. The distinct sites, in fractional coordinates, are Y at (0.000, 0.024, 0.000), Y at (0.030, 0.467, 0.849), Y at (0.090, 0.263, 0.180), Y at (0.279, 0.180, 0.852), Ag at (0.258, 0.368, 0.661), Pd at (0.270, 0.094, 0.463) and Pd at (0.377, 0.342, 0.144).

Number 1: calculated total energy -35.1 eV/f.u., volume 215 Å³ per cell. Number 2: calculated total energy -24.7 eV/f.u., volume 117 Å³ per cell. Number 3: calculated total energy -35.8 eV/f.u., volume 78 Å³ per cell. Number 4: calculated total energy -43.0 eV/f.u., volume 705 Å³ per cell.